No. 1
MgBeTe, relaxed, DFT PBE-GGA; space group = Fmm2
1.0
0.000 3.128 5.785
1.926 0.000 5.785
1.926 3.128 0.000
Mg Be Te
1 1 1
Direct
0.000 0.000 0.000 Mg
0.658 0.658 0.342 Be
0.279 0.279 0.721 Te

---

No. 2
LaMg2AgH, relaxed, DFT PBE-GGA; space group = P4/mmm
1.0
4.616 0.000 0.000
0.000 4.616 0.000
0.000 0.000 4.809
La Mg Ag H
1 2 1 1
Direct
0.000 0.000 0.000 La
0.000 0.500 0.500 Mg
0.500 0.000 0.500 Mg
0.500 0.500 0.000 Ag
0.000 0.000 0.500 H

---

No. 3
Hf6Zr3Ti, relaxed, DFT PBE-GGA; space group = Cmmm; ΔE_f = 3.81 eV/f.u.
1.0
3.193 -7.499 0.000
3.193 7.499 0.000
0.000 0.000 4.883
Hf Zr Ti
6 3 1
Direct
0.083 0.397 0.500 Hf
0.239 0.239 0.000 Hf
0.397 0.083 0.500 Hf
0.603 0.917 0.500 Hf
0.761 0.761 0.000 Hf
0.917 0.603 0.500 Hf
0.273 0.727 0.000 Zr
0.500 0.500 0.500 Zr
0.727 0.273 0.000 Zr
0.000 0.000 0.500 Ti

---

Number 1: raw total energy -2.560 eV per atom. Number 2: raw total energy -3.035 eV per atom. Number 3: raw total energy -8.945 eV per atom.